1.
# PaInAu | Alexandria via LeMat-Bulk | PBE | relaxed
data_PaInAu
_space_group_name_H-M_alt 'F -4 3 m'
_space_group_IT_number 216
_space_group_name_Hall 'F -4 2 3'
_cell_length_a 6.798
_cell_length_b 6.798
_cell_length_c 6.798
_cell_angle_alpha 90.00
_cell_angle_beta 90.00
_cell_angle_gamma 90.00
loop_
_atom_site_label
_atom_site_type_symbol
_atom_site_fract_x
_atom_site_fract_y
_atom_site_fract_z
Pa1 Pa 0.000 0.000 0.000
In1 In 0.000 0.000 0.500
Au1 Au 0.250 0.250 0.250
# DFT total energy ... -5.38 eV per atom
# DFT formation energy ... -0.212 eV/atom
# Crystal system ... cubic



2.
# PaInAu3 | Alexandria via LeMat-Bulk | PBE | relaxed
data_PaInAu3
_space_group_name_H-M_alt 'C m c m'
_space_group_IT_number 63
_space_group_name_Hall '-C 2c 2'
_cell_length_a 3.245
_cell_length_b 27.231
_cell_length_c 4.830
_cell_angle_alpha 90.00
_cell_angle_beta 90.00
_cell_angle_gamma 90.00
loop_
_atom_site_label
_atom_site_type_symbol
_atom_site_fract_x
_atom_site_fract_y
_atom_site_fract_z
Pa1 Pa 0.000 0.076 0.250
In1 In 0.000 0.215 0.750
Au1 Au 0.000 0.320 0.750
Au2 Au 0.000 0.375 0.250
Au3 Au 0.000 0.476 0.250
# DFT total energy ... -4.75 eV per atom
# DFT formation energy ... -0.335 eV/atom
# Distance to the lowest polymorph of the same formula ... 0.000 eV per atom
# Crystal system ... orthorhombic



3.
# PaIn2Au | Alexandria via LeMat-Bulk | PBE | relaxed
data_PaIn2Au
_space_group_name_H-M_alt 'P 4/m m m'
_space_group_IT_number 123
_space_group_name_Hall '-P 4 2'
_cell_length_a 4.524
_cell_length_b 4.524
_cell_length_c 4.640
_cell_angle_alpha 90.00
_cell_angle_beta 90.00
_cell_angle_gamma 90.00
loop_
_atom_site_label
_atom_site_type_symbol
_atom_site_fract_x
_atom_site_fract_y
_atom_site_fract_z
Pa1 Pa 0.000 0.000 0.000
In1 In 0.000 0.500 0.500
Au1 Au 0.500 0.500 0.000
# DFT total energy ... -4.69 eV per atom
# DFT formation energy ... -0.128 eV/atom
# Distance to the lowest polymorph of the same formula ... 0.125 eV per atom
# Crystal system ... tetragonal



4.
# Pa3In2Au8 | Alexandria via LeMat-Bulk | PBE | relaxed
data_Pa3In2Au8
_space_group_name_H-M_alt 'R -3 m'
_space_group_IT_number 166
_space_group_name_Hall '-R 3 2"'
_cell_length_a 5.5184
_cell_length_b 5.5184
_cell_length_c 33.0472
_cell_angle_alpha 90.00
_cell_angle_beta 90.00
_cell_angle_gamma 120.00
loop_
_atom_site_label
_atom_site_type_symbol
_atom_site_fract_x
_atom_site_fract_y
_atom_site_fract_z
Pa1 Pa 0.0000 0.0000 0.0000
Pa2 Pa 0.0000 0.0000 0.1868
In1 In 0.0000 0.0000 0.3650
Au1 Au 0.0000 0.0000 0.2826
Au2 Au 0.0013 0.5007 0.7698
# DFT total energy ... -4.72 eV per atom
# DFT formation energy ... -0.093 eV/atom
# Crystal system ... trigonal



5.
# PaInAu4 | Alexandria via LeMat-Bulk | PBE | relaxed
data_PaInAu4
_space_group_name_H-M_alt 'C m m m'
_space_group_IT_number 65
_space_group_name_Hall '-C 2 2'
_cell_length_a 5.122
_cell_length_b 9.596
_cell_length_c 5.076
_cell_angle_alpha 90.00
_cell_angle_beta 90.00
_cell_angle_gamma 90.00
loop_
_atom_site_label
_atom_site_type_symbol
_atom_site_fract_x
_atom_site_fract_y
_atom_site_fract_z
Pa1 Pa 0.000 0.000 0.000
In1 In 0.000 0.500 0.500
Au1 Au 0.000 0.173 0.500
Au2 Au 0.000 0.330 0.000
# DFT total energy ... -4.52 eV per atom
# DFT formation energy ... -0.301 eV/atom
# Distance to the lowest polymorph of the same formula ... 0.000 eV per atom
# Crystal system ... orthorhombic



6.
# PaInAu4 | Alexandria via LeMat-Bulk | PBE | relaxed
data_PaInAu4
_space_group_name_H-M_alt 'C 1 2/m 1'
_space_group_IT_number 12
_cell_length_a 6.592
_cell_length_b 6.592
_cell_length_c 6.814
_cell_angle_alpha 90.00
_cell_angle_beta 90.10
_cell_angle_gamma 90.00
loop_
_space_group_symop_operation_xyz
'x,y,z'
'-x,-y,-z'
'-x,y,-z'
'x,-y,z'
'x+1/2,y+1/2,z'
'-x+1/2,-y+1/2,-z'
'-x+1/2,y+1/2,-z'
'x+1/2,-y+1/2,z'
loop_
_atom_site_label
_atom_site_type_symbol
_atom_site_fract_x
_atom_site_fract_y
_atom_site_fract_z
Pa1 Pa 0.000 0.000 0.000
In1 In 0.000 0.500 0.500
Au1 Au 0.250 0.250 0.266
# DFT total energy ... -4.29 eV per atom
# DFT formation energy ... -0.069 eV/atom
# Distance to the lowest polymorph of the same formula ... 0.231 eV per atom
# Crystal system ... monoclinic



7.
# PaInAu | Alexandria via LeMat-Bulk | PBE | relaxed
data_PaInAu
_space_group_name_H-M_alt 'C 1 2/m 1'
_space_group_IT_number 12
_cell_length_a 5.964
_cell_length_b 6.150
_cell_length_c 7.748
_cell_angle_alpha 90.00
_cell_angle_beta 96.71
_cell_angle_gamma 90.00
loop_
_space_group_symop_operation_xyz
'x,y,z'
'-x,-y,-z'
'-x,y,-z'
'x,-y,z'
'x+1/2,y+1/2,z'
'-x+1/2,-y+1/2,-z'
'-x+1/2,y+1/2,-z'
'x+1/2,-y+1/2,z'
loop_
_atom_site_label
_atom_site_type_symbol
_atom_site_fract_x
_atom_site_fract_y
_atom_site_fract_z
Pa1 Pa 0.193 0.000 0.123
In1 In 0.000 0.246 0.500
Au1 Au 0.197 0.500 0.239
# DFT total energy ... -5.33 eV per atom
# DFT formation energy ... -0.156 eV/atom
# Crystal system ... monoclinic



8.
# PaIn2Au | Alexandria via LeMat-Bulk | PBE | relaxed
data_PaIn2Au
_space_group_name_H-M_alt 'P 4/m m m'
_space_group_IT_number 123
_space_group_name_Hall '-P 4 2'
_cell_length_a 3.156
_cell_length_b 3.156
_cell_length_c 9.015
_cell_angle_alpha 90.00
_cell_angle_beta 90.00
_cell_angle_gamma 90.00
loop_
_atom_site_label
_atom_site_type_symbol
_atom_site_fract_x
_atom_site_fract_y
_atom_site_fract_z
Pa1 Pa 0.000 0.000 0.000
In1 In 0.500 0.500 0.276
Au1 Au 0.000 0.000 0.500
# DFT total energy ... -4.63 eV per atom
# DFT formation energy ... -0.065 eV/atom
# Distance to the lowest polymorph of the same formula ... 0.188 eV per atom
# Crystal system ... tetragonal